No. 1
An optimized crystal structure of In3Pd. Source: Alexandria via LeMat-Bulk, functional PBE.

ΔH_f (0 K), eV/atom: -0.2198
Energy, eV for the cell shown: -14.29

Unit cell a=3.1750 b=4.5126 c=7.1417 alpha=108.42 beta=102.84 gamma=90.00
Positions (direct):
In: 0.3125 0.8125 0.6250
In: 0.5000 0.5000 0.0000
In: 0.6875 0.1875 0.3750
Pd: 0.0000 0.0000 0.0000


No. 2
An optimized crystal structure of Na2GaH6. Source: Alexandria via LeMat-Bulk, functional PBE.

E above lowest polymorph, meV per atom: 0
Energy, eV for the cell shown: -49.42

Unit cell a=5.7048 b=5.5461 c=6.7134 alpha=90.00 beta=111.98 gamma=90.00
Positions (direct):
Na: 0.9293 0.4876 0.7313
Na: 0.5707 0.9876 0.7687
Na: 0.4293 0.0124 0.2313
Na: 0.0707 0.5124 0.2687
Ga: 0.5000 0.5000 0.0000
Ga: 0.0000 0.0000 0.5000
H: 0.8609 0.1023 0.2406
H: 0.8132 0.7437 0.4197
H: 0.7659 0.6589 0.9477
H: 0.7341 0.1589 0.5523
H: 0.6868 0.2437 0.0803
H: 0.6391 0.6023 0.2594
H: 0.1391 0.8977 0.7594
H: 0.1868 0.2563 0.5803
H: 0.2341 0.3411 0.0523
H: 0.2659 0.8411 0.4477
H: 0.3132 0.7563 0.9197
H: 0.3609 0.3977 0.7406